Entry 1:
DFT (GGA-PBE) results for crystalline Li12Pd6Pt at its relaxed geometry.

Total magnetization, μB/f.u.: 0.000
Energy of formation from the pure elements, eV/atom: -0.344

Lattice parameters (Å, degrees): 9.4920 9.4920 11.2540 90.00 90.00 120.00
Space group R-3 (No. 148, hexagonal axes)
Symmetry-distinct sites (fractional):
Li 0.0373 0.8456 0.3194 x18
Li 0.0594 0.2234 0.9146 x18
Pd 0.0174 0.5859 0.2029 x18
Pt 0.0000 0.0000 0.5000 x3

***

Entry 2:
DFT (GGA-PBE) results for crystalline Li2Pd4Pt at its relaxed geometry.

Total magnetization, μB/f.u.: 0.000
Distance to the lowest polymorph of the same formula, kJ/mol of atoms: 2.9
Energy of formation from the pure elements, eV/atom: -0.184

Lattice parameters (Å, degrees): 6.460 8.401 4.216 90.00 90.00 90.00
Space group Cmmm (No. 65)
Symmetry-distinct sites (fractional):
Li 0.209 0.000 0.000 x4
Pd 0.000 0.288 0.000 x4
Pd 0.250 0.250 0.500 x4
Pt 0.000 0.500 0.500 x2

***

Entry 3:
DFT (GGA-PBE) results for crystalline LiPd6Pt2 at its relaxed geometry.

Total magnetization, μB/f.u.: 0.000
Distance to the lowest polymorph of the same formula, kJ/mol of atoms: 0.0
Energy of formation from the pure elements, eV/atom: -0.124

Lattice parameters (Å, degrees): 4.802 5.530 10.792 82.65 85.70 73.23
Space group P-1 (No. 2)
Symmetry-distinct sites (fractional):
Li 0.227 0.302 0.056 x2
Pd 0.112 0.029 0.273 x2
Pd 0.114 0.527 0.273 x2
Pd 0.221 0.805 0.053 x2
Pd 0.332 0.581 0.840 x2
Pd 0.336 0.081 0.839 x2
Pd 0.441 0.862 0.612 x2
Pt 0.001 0.749 0.501 x2
Pt 0.442 0.361 0.614 x2

***

Entry 4:
DFT (GGA-PBE) results for crystalline Li6Pd8Pt at its relaxed geometry.

Total magnetization, μB/f.u.: 0.000
Energy of formation from the pure elements, eV/atom: -0.203

Lattice parameters (Å, degrees): 6.8247 6.8247 16.8805 90.00 90.00 120.00
Space group R-3 (No. 148, hexagonal axes)
Symmetry-distinct sites (fractional):
Li 0.0086 0.7380 0.3758 x18
Pd 0.0000 0.0000 0.2536 x6
Pd 0.0207 0.2646 0.1246 x18
Pt 0.0000 0.0000 0.0000 x3

***

Entry 5:
DFT (GGA-PBE) results for crystalline Li2Pd7Pt2 at its relaxed geometry.

Total magnetization, μB/f.u.: 0.000
Energy of formation from the pure elements, eV/atom: -0.003

Lattice parameters (Å, degrees): 9.308 7.578 4.998 90.00 101.77 90.00
Space group C2/m (No. 12)
Symmetry-distinct sites (fractional):
Li 0.235 0.000 0.262 x4
Pd 0.000 0.000 0.500 x2
Pd 0.017 0.500 0.260 x4
Pd 0.232 0.183 0.746 x8
Pt 0.000 0.179 0.000 x4

***

Entry 6:
DFT (GGA-PBE) results for crystalline Li2Pd5Pt5 at its relaxed geometry.

Total magnetization, μB/f.u.: 0.000
Energy of formation from the pure elements, eV/atom: -0.224

Lattice parameters (Å, degrees): 11.670 3.928 8.700 90.00 116.15 90.00
Space group C2/m (No. 12)
Symmetry-distinct sites (fractional):
Li 0.081 0.000 0.248 x4
Pd 0.000 0.000 0.500 x2
Pd 0.163 0.000 0.998 x4
Pd 0.244 0.500 0.248 x4
Pt 0.000 0.500 0.000 x2
Pt 0.079 0.500 0.749 x4
Pt 0.168 0.500 0.501 x4